Entry 1:
Below is a relaxed LiTa2Cr crystal, with properties calculated at the PBE level.

Geometry as CIF:
```
data_LiTa2Cr
_chemical_formula_sum 'Li1 Ta2 Cr1'
_cell_length_a 10.105
_cell_length_b 10.105
_cell_length_c 10.105
_cell_angle_alpha 15.77
_cell_angle_beta 15.77
_cell_angle_gamma 15.77
_space_group_name_H-M_alt 'P 1'
_space_group_IT_number 1
loop_
_space_group_symop_operation_xyz
'x,y,z'
loop_
_atom_site_label
_atom_site_type_symbol
_atom_site_fract_x
_atom_site_fract_y
_atom_site_fract_z
Li1 Li 0.750 0.750 0.750
Cr1 Cr 0.250 0.250 0.250
Ta1 Ta 0.504 0.504 0.504
Ta2 Ta 0.996 0.996 0.996
```

E_form   476 meV/atom



Entry 2:
Below is a relaxed Pr6SmDy6 crystal, with properties calculated at the PBE level.

Geometry as CIF:
```
data_Pr6SmDy6
_chemical_formula_sum 'Pr6 Sm1 Dy6'
_cell_length_a 6.667
_cell_length_b 6.665
_cell_length_c 11.318
_cell_angle_alpha 90.00
_cell_angle_beta 90.00
_cell_angle_gamma 115.30
_space_group_name_H-M_alt 'P 1'
_space_group_IT_number 1
loop_
_space_group_symop_operation_xyz
'x,y,z'
loop_
_atom_site_label
_atom_site_type_symbol
_atom_site_fract_x
_atom_site_fract_y
_atom_site_fract_z
Dy1 Dy 0.500 0.500 0.301
Dy2 Dy 0.500 0.000 0.775
Dy3 Dy 0.500 0.000 0.225
Dy4 Dy 0.500 0.500 0.699
Dy5 Dy 0.000 0.500 0.225
Dy6 Dy 0.000 0.500 0.775
Pr1 Pr 0.000 0.000 0.328
Pr2 Pr 0.265 0.735 0.500
Pr3 Pr 0.640 0.358 0.000
Pr4 Pr 0.000 0.000 0.672
Pr5 Pr 0.735 0.265 0.500
Pr6 Pr 0.360 0.642 0.000
Sm1 Sm 0.000 0.000 0.000
```

E_form   213 meV/atom



Entry 3:
Below is a relaxed BaBiP2 crystal, with properties calculated at the PBE level.

Geometry as CIF:
```
data_BaBiP2
_chemical_formula_sum 'Ba2 Bi2 P4'
_cell_length_a 7.733
_cell_length_b 7.733
_cell_length_c 7.033
_cell_angle_alpha 56.65
_cell_angle_beta 56.65
_cell_angle_gamma 90.00
_space_group_name_H-M_alt 'P 1'
_space_group_IT_number 1
loop_
_space_group_symop_operation_xyz
'x,y,z'
loop_
_atom_site_label
_atom_site_type_symbol
_atom_site_fract_x
_atom_site_fract_y
_atom_site_fract_z
P1 P 0.875 0.928 0.750
P2 P 0.375 0.322 0.750
P3 P 0.072 0.625 0.250
P4 P 0.678 0.125 0.250
Ba1 Ba 0.500 0.500 0.000
Ba2 Ba 0.250 0.750 0.500
Bi1 Bi 0.750 0.250 0.500
Bi2 Bi 0.000 0.000 0.000
```

E_form   -222 meV/atom



Entry 4:
Below is a relaxed Nd6CdIn3 crystal, with properties calculated at the PBE level.

Geometry as CIF:
```
data_Nd6CdIn3
_chemical_formula_sum 'Nd12 Cd2 In6'
_cell_length_a 5.456
_cell_length_b 9.607
_cell_length_c 12.032
_cell_angle_alpha 107.99
_cell_angle_beta 90.00
_cell_angle_gamma 90.00
_space_group_name_H-M_alt 'P 1'
_space_group_IT_number 1
loop_
_space_group_symop_operation_xyz
'x,y,z'
loop_
_atom_site_label
_atom_site_type_symbol
_atom_site_fract_x
_atom_site_fract_y
_atom_site_fract_z
Nd1 Nd 0.250 0.844 0.300
Nd2 Nd 0.750 0.338 0.323
Nd3 Nd 0.750 0.541 0.914
Nd4 Nd 0.750 0.156 0.700
Nd5 Nd 0.750 0.868 0.846
Nd6 Nd 0.250 0.088 0.877
Nd7 Nd 0.750 0.912 0.123
Nd8 Nd 0.250 0.459 0.086
Nd9 Nd 0.250 0.255 0.499
Nd10 Nd 0.250 0.132 0.154
Nd11 Nd 0.250 0.662 0.677
Nd12 Nd 0.750 0.745 0.501
In1 In 0.250 0.536 0.378
In2 In 0.250 0.375 0.784
In3 In 0.750 0.229 0.026
In4 In 0.750 0.625 0.216
In5 In 0.250 0.771 0.974
In6 In 0.750 0.464 0.622
Cd1 Cd 0.750 0.039 0.409
Cd2 Cd 0.250 0.961 0.591
```

E_form   -347 meV/atom



Entry 5:
Below is a relaxed TiPtI2 crystal, with properties calculated at the PBE level.

Geometry as CIF:
```
data_TiPtI2
_chemical_formula_sum 'Ti2 Pt2 I4'
_cell_length_a 6.082
_cell_length_b 6.082
_cell_length_c 7.954
_cell_angle_alpha 67.52
_cell_angle_beta 67.52
_cell_angle_gamma 90.00
_space_group_name_H-M_alt 'P 1'
_space_group_IT_number 1
loop_
_space_group_symop_operation_xyz
'x,y,z'
loop_
_atom_site_label
_atom_site_type_symbol
_atom_site_fract_x
_atom_site_fract_y
_atom_site_fract_z
Pt1 Pt 0.750 0.250 0.500
Pt2 Pt 0.000 0.000 0.000
I1 I 0.115 0.625 0.250
I2 I 0.635 0.125 0.250
I3 I 0.875 0.885 0.750
I4 I 0.375 0.365 0.750
Ti1 Ti 0.250 0.750 0.500
Ti2 Ti 0.500 0.500 0.000
```

Formation energy from raw total energies   18 kJ/mol of atoms



Entry 6:
Below is a relaxed PrErSc2 crystal, with properties calculated at the PBE level.

Geometry as CIF:
```
data_PrErSc2
_chemical_formula_sum 'Pr1 Er1 Sc2'
_cell_length_a 3.904
_cell_length_b 3.904
_cell_length_c 7.549
_cell_angle_alpha 90.00
_cell_angle_beta 90.00
_cell_angle_gamma 90.00
_space_group_name_H-M_alt 'P 1'
_space_group_IT_number 1
loop_
_space_group_symop_operation_xyz
'x,y,z'
loop_
_atom_site_label
_atom_site_type_symbol
_atom_site_fract_x
_atom_site_fract_y
_atom_site_fract_z
Pr1 Pr 0.500 0.500 0.500
Sc1 Sc 0.000 0.000 0.761
Sc2 Sc 0.000 0.000 0.239
Er1 Er 0.500 0.500 0.000
```

E_form   81 meV/atom



Entry 7:
Below is a relaxed RbCrS2 crystal, with properties calculated at the PBE level.

Geometry as CIF:
```
data_RbCrS2
_chemical_formula_sum 'Rb1 Cr1 S2'
_cell_length_a 3.709
_cell_length_b 3.709
_cell_length_c 7.874
_cell_angle_alpha 90.00
_cell_angle_beta 90.00
_cell_angle_gamma 120.00
_space_group_name_H-M_alt 'P 1'
_space_group_IT_number 1
loop_
_space_group_symop_operation_xyz
'x,y,z'
loop_
_atom_site_label
_atom_site_type_symbol
_atom_site_fract_x
_atom_site_fract_y
_atom_site_fract_z
Cr1 Cr 0.000 0.000 0.999
S1 S 0.667 0.333 0.159
S2 S 0.333 0.667 0.848
Rb1 Rb 0.333 0.667 0.449
```

Formation energy from raw total energies   -75 kJ/mol of atoms



Entry 8:
Below is a relaxed YHoGaRh crystal, with properties calculated at the PBE level.

Geometry as CIF:
```
data_YHoGaRh
_chemical_formula_sum 'Y1 Ho1 Ga1 Rh1'
_cell_length_a 3.910
_cell_length_b 4.293
_cell_length_c 5.701
_cell_angle_alpha 90.00
_cell_angle_beta 110.05
_cell_angle_gamma 90.00
_space_group_name_H-M_alt 'P 1'
_space_group_IT_number 1
loop_
_space_group_symop_operation_xyz
'x,y,z'
loop_
_atom_site_label
_atom_site_type_symbol
_atom_site_fract_x
_atom_site_fract_y
_atom_site_fract_z
Ho1 Ho 0.860 0.500 0.721
Y1 Y 0.143 0.000 0.286
Rh1 Rh 0.425 0.000 0.850
Ga1 Ga 0.572 0.500 0.143
```

E_form   -748 meV/atom



Entry 9:
Below is a relaxed Nd2Ag3Pb crystal, with properties calculated at the PBE level.

Geometry as CIF:
```
data_Nd2Ag3Pb
_chemical_formula_sum 'Nd4 Ag6 Pb2'
_cell_length_a 6.096
_cell_length_b 6.096
_cell_length_c 9.858
_cell_angle_alpha 113.69
_cell_angle_beta 113.69
_cell_angle_gamma 72.59
_space_group_name_H-M_alt 'P 1'
_space_group_IT_number 1
loop_
_space_group_symop_operation_xyz
'x,y,z'
loop_
_atom_site_label
_atom_site_type_symbol
_atom_site_fract_x
_atom_site_fract_y
_atom_site_fract_z
Ag1 Ag 0.673 0.673 0.837
Ag2 Ag 0.835 0.835 0.670
Ag3 Ag 0.327 0.327 0.163
Ag4 Ag 0.165 0.165 0.330
Ag5 Ag 0.163 0.163 0.837
Ag6 Ag 0.837 0.837 0.163
Nd1 Nd 0.250 0.750 0.500
Nd2 Nd 0.750 0.250 0.500
Nd3 Nd 0.238 0.762 0.000
Nd4 Nd 0.762 0.238 0.000
Pb1 Pb 0.665 0.665 0.329
Pb2 Pb 0.335 0.335 0.671
```

E_form   -307 meV/atom



Entry 10:
Below is a relaxed VPt2Pb crystal, with properties calculated at the PBE level.

Geometry as CIF:
```
data_VPt2Pb
_chemical_formula_sum 'V2 Pt4 Pb2'
_cell_length_a 7.382
_cell_length_b 7.382
_cell_length_c 5.923
_cell_angle_alpha 51.46
_cell_angle_beta 51.46
_cell_angle_gamma 90.00
_space_group_name_H-M_alt 'P 1'
_space_group_IT_number 1
loop_
_space_group_symop_operation_xyz
'x,y,z'
loop_
_atom_site_label
_atom_site_type_symbol
_atom_site_fract_x
_atom_site_fract_y
_atom_site_fract_z
Pt1 Pt 0.875 0.842 0.750
Pt2 Pt 0.592 0.125 0.250
Pt3 Pt 0.158 0.625 0.250
Pt4 Pt 0.375 0.408 0.750
Pb1 Pb 0.000 0.000 0.000
Pb2 Pb 0.750 0.250 0.500
V1 V 0.250 0.750 0.500
V2 V 0.500 0.500 0.000
```

E_form   76 meV/atom



| no. | total moment (μB/cell) |
| --- | --- |
| 1 | 0.002 |
| 2 | 0.000 |
| 3 | 0.000 |
| 4 | 0.000 |
| 5 | 4.000 |
| 6 | 0.001 |
| 7 | 3.000 |
| 8 | 0.000 |
| 9 | 0.001 |
| 10 | 3.448 |